Material: Re3S4Br
Method: DFT, GGA-PBE
State: optimized geometry

The calculation puts the electronic total energy at -7.493 eV/atom. The calculation puts the calculated density at 6843 kg/m³.

abc: 6.422 11.595 11.029
angles: 90.00 115.00 90.00
Fractional coordinates of all 32 atoms:
1 Re 0.036 0.147 0.446
2 Re 0.036 0.353 0.946
3 Re 0.042 0.059 0.664
4 Re 0.042 0.441 0.164
5 Re 0.311 0.524 0.063
6 Re 0.311 0.976 0.563
7 Re 0.689 0.024 0.437
8 Re 0.689 0.476 0.937
9 Re 0.958 0.559 0.836
10 Re 0.958 0.941 0.336
11 Re 0.964 0.647 0.054
12 Re 0.964 0.853 0.554
13 S 0.217 0.711 0.959
14 S 0.217 0.789 0.459
15 S 0.267 0.064 0.343
16 S 0.267 0.436 0.843
17 S 0.295 0.602 0.260
18 S 0.295 0.898 0.760
19 S 0.359 0.165 0.662
20 S 0.359 0.335 0.162
21 S 0.641 0.665 0.838
22 S 0.641 0.835 0.338
23 S 0.705 0.102 0.240
24 S 0.705 0.398 0.740
25 S 0.733 0.564 0.157
26 S 0.733 0.936 0.657
27 S 0.783 0.211 0.541
28 S 0.783 0.289 0.041
29 Br 0.109 0.135 0.903
30 Br 0.109 0.365 0.403
31 Br 0.891 0.635 0.597
32 Br 0.891 0.865 0.097